First-principles (PBE) data for a relaxed Zr6HPb crystal, as listed in Alexandria.

The magnetic moment is 0.000 μB per cell. The calculation puts the electronic total energy at -178.4 eV per cell.

It has space group R-3 (No. 148, hexagonal axes), with a = 8.5850 Å, b = 8.5850 Å, c = 7.7264 Å, α = 90.00°, β = 90.00° and γ = 120.00°. The asymmetric unit holds Zr at (0.0704, 0.8238, 0.1616), H at (0.0000, 0.0000, 0.0000) and Pb at (0.0000, 0.0000, 0.5000).